1.
La2TbHo6 | PBE | optimized geometry

Cell lengths 6.976, 10.425, 10.425 Å; angles 56.25, 70.47, 70.47 degrees
Sites, in units of the cell vectors:
La: 0.583 0.667 0.667
La: 0.083 0.667 0.667
La: 0.417 0.333 0.333
La: 0.917 0.333 0.333
Ho: 0.165 0.670 0.001
Ho: 0.665 0.001 0.670
Ho: 0.000 0.330 0.669
Ho: 0.000 0.670 0.331
Ho: 0.165 0.000 0.669
Ho: 0.500 0.331 0.670
Ho: 0.835 0.000 0.331
Ho: 0.335 0.331 0.000
Ho: 0.835 0.330 0.999
Ho: 0.500 0.669 0.330
Ho: 0.665 0.669 0.000
Ho: 0.335 0.999 0.330
Tb: 0.250 0.000 0.000
Tb: 0.750 0.000 0.000

## Properties
size of the total moment: 0.0000 μB per atom
energy of formation from the pure elements: 0.07 eV per atom

***

2.
La2Tb4Ho7 | PBE | optimized geometry

Cell lengths 6.080, 6.080, 13.395 Å; angles 90.00, 90.00, 120.00 degrees
Sites, in units of the cell vectors:
Ho: 0.000 0.648 0.216
Ho: 0.000 0.000 0.000
Ho: 0.648 0.000 0.216
Ho: 0.352 0.000 0.784
Ho: 0.648 0.648 0.784
Ho: 0.000 0.352 0.784
Ho: 0.352 0.352 0.216
La: 0.667 0.333 0.000
La: 0.333 0.667 0.000
Tb: 0.000 0.000 0.395
Tb: 0.667 0.333 0.500
Tb: 0.333 0.667 0.500
Tb: 0.000 0.000 0.605

## Properties
size of the total moment: 0.0000 μB per atom
energy of formation from the pure elements: 0.19 eV per atom

***

3.
La3Tb4Ho8 | PBE | optimized geometry

Cell lengths 6.771, 9.300, 9.300 Å; angles 87.54, 111.31, 111.31 degrees
Sites, in units of the cell vectors:
Ho: 0.000 0.736 0.736
Ho: 0.000 0.360 0.640
Ho: 0.000 0.264 0.264
Ho: 0.000 0.640 0.360
Ho: 0.477 0.736 0.736
Ho: 0.500 0.254 0.746
Ho: 0.523 0.264 0.264
Ho: 0.500 0.746 0.254
La: 0.500 0.500 0.000
La: 0.500 0.500 0.500
La: 0.500 0.000 0.500
Tb: 0.000 0.000 0.500
Tb: 0.000 0.500 0.000
Tb: 0.000 0.000 0.000
Tb: 0.500 0.000 0.000

## Properties
size of the total moment: 0.0000 μB per atom
energy of formation from the pure elements: 0.38 eV per atom

***

4.
LaTb5Ho5 | PBE | optimized geometry

Cell lengths 6.087, 6.087, 11.606 Å; angles 90.00, 90.00, 120.00 degrees
Sites, in units of the cell vectors:
Ho: 0.000 0.000 0.265
Ho: 0.000 0.000 0.735
Ho: 0.334 0.167 0.500
Ho: 0.833 0.666 0.500
Ho: 0.833 0.167 0.500
Tb: 0.667 0.333 0.841
Tb: 0.000 0.000 0.000
Tb: 0.333 0.667 0.329
Tb: 0.333 0.667 0.671
Tb: 0.667 0.333 0.159
La: 0.333 0.667 0.000

## Properties
size of the total moment: 0.0003 μB per atom
energy of formation from the pure elements: 0.31 eV per atom

***

5.
La4Tb2Ho | PBE | optimized geometry

Cell lengths 6.960, 9.115, 9.115 Å; angles 79.13, 67.56, 67.56 degrees
Sites, in units of the cell vectors:
Tb: 0.285 0.965 0.465
Tb: 0.715 0.035 0.535
Tb: 0.500 0.500 0.500
Tb: 0.500 0.000 0.000
La: 0.152 0.846 0.851
La: 0.789 0.243 0.743
La: 0.774 0.757 0.257
La: 0.152 0.351 0.346
La: 0.226 0.243 0.743
La: 0.848 0.649 0.654
La: 0.848 0.154 0.149
La: 0.211 0.757 0.257
Ho: 0.000 0.500 0.000
Ho: 0.500 0.500 0.000

## Properties
size of the total moment: 0.0000 μB per atom
energy of formation from the pure elements: 0.22 eV per atom

***

6.
La5Tb4Ho | PBE | optimized geometry

Cell lengths 3.699, 3.699, 25.182 Å; angles 90.00, 90.00, 90.00 degrees
Sites, in units of the cell vectors:
Tb: 0.000 0.000 0.600
Tb: 0.000 0.000 0.400
Tb: 0.000 0.000 0.801
Tb: 0.000 0.000 0.199
La: 0.500 0.500 0.500
La: 0.500 0.500 0.700
La: 0.500 0.500 0.300
La: 0.500 0.500 0.901
La: 0.500 0.500 0.099
Ho: 0.000 0.000 0.000

## Properties
size of the total moment: 0.0000 μB per atom
energy of formation from the pure elements: 0.02 eV per atom

***

Listing calculated density for the structures above in their given order: 8.12; 8.01; 7.79; 7.84; 6.99; 7.21 g cm⁻³.